[1]
VASP calculation (PBE-GGA) on KSn2Bi after structural relaxation.

Values from the calculation:
ΔE_f: -0.13 eV per formula unit

Cell and atoms, written as CIF:
```
data_KSn2Bi
_space_group_name_H-M_alt 'I -4 2 d'
_space_group_IT_number 122
_space_group_name_Hall 'I -4 2bw'
_cell_length_a 9.121
_cell_length_b 9.121
_cell_length_c 6.855
_cell_angle_alpha 90.00
_cell_angle_beta 90.00
_cell_angle_gamma 90.00
loop_
_atom_site_label
_atom_site_type_symbol
_atom_site_fract_x
_atom_site_fract_y
_atom_site_fract_z
K1 K 0.000 0.000 0.000
Sn1 Sn 0.207 0.250 0.625
Bi1 Bi 0.000 0.000 0.500
```

[2]
VASP calculation (PBE-GGA) on K3SnBi3 after structural relaxation.

Values from the calculation:
ΔE_f: -2.17 eV per formula unit
Polymorph energy (0 for the lowest one): 0.0 meV/atom

Cell and atoms, written as CIF:
```
data_K3SnBi3
_space_group_name_H-M_alt 'C 1 2/m 1'
_space_group_IT_number 12
_cell_length_a 12.896
_cell_length_b 5.751
_cell_length_c 15.969
_cell_angle_alpha 90.00
_cell_angle_beta 108.40
_cell_angle_gamma 90.00
loop_
_space_group_symop_operation_xyz
'x,y,z'
'-x,-y,-z'
'-x,y,-z'
'x,-y,z'
'x+1/2,y+1/2,z'
'-x+1/2,-y+1/2,-z'
'-x+1/2,y+1/2,-z'
'x+1/2,-y+1/2,z'
loop_
_atom_site_label
_atom_site_type_symbol
_atom_site_fract_x
_atom_site_fract_y
_atom_site_fract_z
K1 K 0.020 0.000 0.378
K2 K 0.096 0.000 0.919
K3 K 0.225 0.000 0.220
Sn1 Sn 0.234 0.500 0.398
Bi1 Bi 0.024 0.500 0.235
Bi2 Bi 0.109 0.500 0.074
Bi3 Bi 0.130 0.500 0.546
```

[3]
VASP calculation (PBE-GGA) on K2SnBi after structural relaxation.

Values from the calculation:
ΔE_f: -1.43 eV per formula unit
Polymorph energy (0 for the lowest one): 0.0 meV/atom

Cell and atoms, written as CIF:
```
data_K2SnBi
_space_group_name_H-M_alt 'P b c m'
_space_group_IT_number 57
_cell_length_a 6.848
_cell_length_b 13.572
_cell_length_c 6.641
_cell_angle_alpha 90.00
_cell_angle_beta 90.00
_cell_angle_gamma 90.00
loop_
_space_group_symop_operation_xyz
'x,y,z'
'-x,-y,-z'
'-x,-y,z+1/2'
'x,y,-z+1/2'
'x,-y+1/2,-z'
'-x,y+1/2,z'
'-x,y+1/2,-z+1/2'
'x,-y+1/2,z+1/2'
loop_
_atom_site_label
_atom_site_type_symbol
_atom_site_fract_x
_atom_site_fract_y
_atom_site_fract_z
K1 K 0.115 0.167 0.250
K2 K 0.342 0.007 0.750
Sn1 Sn 0.405 0.750 0.000
Bi1 Bi 0.159 0.606 0.750
```

[4]
VASP calculation (PBE-GGA) on K2SnBi2 after structural relaxation.

Values from the calculation:
ΔE_f: -1.31 eV per formula unit
Polymorph energy (0 for the lowest one): 37.2 meV/atom

Cell and atoms, written as CIF:
```
data_K2SnBi2
_space_group_name_H-M_alt 'C m c m'
_space_group_IT_number 63
_space_group_name_Hall '-C 2c 2'
_cell_length_a 6.552
_cell_length_b 19.693
_cell_length_c 6.117
_cell_angle_alpha 90.00
_cell_angle_beta 90.00
_cell_angle_gamma 90.00
loop_
_atom_site_label
_atom_site_type_symbol
_atom_site_fract_x
_atom_site_fract_y
_atom_site_fract_z
K1 K 0.000 0.060 0.250
K2 K 0.000 0.299 0.750
Sn1 Sn 0.000 0.500 0.000
Bi1 Bi 0.243 0.125 0.750
```

[5]
VASP calculation (PBE-GGA) on K2Sn2Bi after structural relaxation.

Values from the calculation:
ΔE_f: 0.41 eV per formula unit
Polymorph energy (0 for the lowest one): 256.7 meV/atom

Cell and atoms, written as CIF:
```
data_K2Sn2Bi
_space_group_name_H-M_alt 'I 4/m m m'
_space_group_IT_number 139
_space_group_name_Hall '-I 4 2'
_cell_length_a 4.951
_cell_length_b 4.951
_cell_length_c 15.043
_cell_angle_alpha 90.00
_cell_angle_beta 90.00
_cell_angle_gamma 90.00
loop_
_atom_site_label
_atom_site_type_symbol
_atom_site_fract_x
_atom_site_fract_y
_atom_site_fract_z
K1 K 0.000 0.500 0.250
Sn1 Sn 0.000 0.000 0.088
Bi1 Bi 0.000 0.000 0.500
```

[6]
VASP calculation (PBE-GGA) on K3SnBi after structural relaxation.

Values from the calculation:
ΔE_f: -0.71 eV per formula unit
Polymorph energy (0 for the lowest one): 0.0 meV/atom

Cell and atoms, written as CIF:
```
data_K3SnBi
_space_group_name_H-M_alt 'I m a 2'
_space_group_IT_number 46
_cell_length_a 12.605
_cell_length_b 7.601
_cell_length_c 9.569
_cell_angle_alpha 90.00
_cell_angle_beta 90.00
_cell_angle_gamma 90.00
loop_
_space_group_symop_operation_xyz
'x,y,z'
'-x,-y,z'
'-x+1/2,y,z'
'x+1/2,-y,z'
'x+1/2,y+1/2,z+1/2'
'-x+1/2,-y+1/2,z+1/2'
'-x,y+1/2,z+1/2'
'x,-y+1/2,z+1/2'
loop_
_atom_site_label
_atom_site_type_symbol
_atom_site_fract_x
_atom_site_fract_y
_atom_site_fract_z
K1 K 0.017 0.249 0.000
K2 K 0.250 0.054 0.252
Sn1 Sn 0.250 0.569 0.095
Bi1 Bi 0.250 0.583 0.409
```

[7]
VASP calculation (PBE-GGA) on KSn2Bi after structural relaxation.

Values from the calculation:
ΔE_f: 0.70 eV per formula unit

Cell and atoms, written as CIF:
```
data_KSn2Bi
_space_group_name_H-M_alt 'R -3 m'
_space_group_IT_number 166
_space_group_name_Hall '-R 3 2"'
_cell_length_a 4.0660
_cell_length_b 4.0660
_cell_length_c 32.9626
_cell_angle_alpha 90.00
_cell_angle_beta 90.00
_cell_angle_gamma 120.00
loop_
_atom_site_label
_atom_site_type_symbol
_atom_site_fract_x
_atom_site_fract_y
_atom_site_fract_z
K1 K 0.0000 0.0000 0.0000
Sn1 Sn 0.0000 0.0000 0.1037
Bi1 Bi 0.0000 0.0000 0.5000
```

[8]
VASP calculation (PBE-GGA) on KSn2Bi after structural relaxation.

Values from the calculation:
ΔE_f: -0.48 eV per formula unit

Cell and atoms, written as CIF:
```
data_KSn2Bi
_space_group_name_H-M_alt 'C m c m'
_space_group_IT_number 63
_space_group_name_Hall '-C 2c 2'
_cell_length_a 5.569
_cell_length_b 12.538
_cell_length_c 7.812
_cell_angle_alpha 90.00
_cell_angle_beta 90.00
_cell_angle_gamma 90.00
loop_
_atom_site_label
_atom_site_type_symbol
_atom_site_fract_x
_atom_site_fract_y
_atom_site_fract_z
K1 K 0.000 0.094 0.250
Sn1 Sn 0.000 0.384 0.055
Bi1 Bi 0.000 0.196 0.750
```

[9]
VASP calculation (PBE-GGA) on K4SnBi4 after structural relaxation.

Values from the calculation:
ΔE_f: -0.49 eV per formula unit

Cell and atoms, written as CIF:
```
data_K4SnBi4
_space_group_name_H-M_alt 'I -4 2 m'
_space_group_IT_number 121
_space_group_name_Hall 'I -4 2'
_cell_length_a 7.477
_cell_length_b 7.477
_cell_length_c 14.921
_cell_angle_alpha 90.00
_cell_angle_beta 90.00
_cell_angle_gamma 90.00
loop_
_atom_site_label
_atom_site_type_symbol
_atom_site_fract_x
_atom_site_fract_y
_atom_site_fract_z
K1 K 0.210 0.210 0.132
Sn1 Sn 0.000 0.000 0.500
Bi1 Bi 0.218 0.218 0.380
```

[10]
VASP calculation (PBE-GGA) on KSn2Bi2 after structural relaxation.

Values from the calculation:
ΔE_f: -0.59 eV per formula unit
Polymorph energy (0 for the lowest one): 3.7 meV/atom

Cell and atoms, written as CIF:
```
data_KSn2Bi2
_space_group_name_H-M_alt 'I 4/m m m'
_space_group_IT_number 139
_space_group_name_Hall '-I 4 2'
_cell_length_a 5.835
_cell_length_b 5.835
_cell_length_c 10.681
_cell_angle_alpha 90.00
_cell_angle_beta 90.00
_cell_angle_gamma 90.00
loop_
_atom_site_label
_atom_site_type_symbol
_atom_site_fract_x
_atom_site_fract_y
_atom_site_fract_z
K1 K 0.000 0.000 0.000
Sn1 Sn 0.000 0.000 0.361
Bi1 Bi 0.000 0.500 0.250
```

[11]
VASP calculation (PBE-GGA) on KSnBi3 after structural relaxation.

Values from the calculation:
ΔE_f: -0.67 eV per formula unit
Polymorph energy (0 for the lowest one): 0.0 meV/atom

Cell and atoms, written as CIF:
```
data_KSnBi3
_space_group_name_H-M_alt 'C m c m'
_space_group_IT_number 63
_space_group_name_Hall '-C 2c 2'
_cell_length_a 8.131
_cell_length_b 11.688
_cell_length_c 8.240
_cell_angle_alpha 90.00
_cell_angle_beta 90.00
_cell_angle_gamma 90.00
loop_
_atom_site_label
_atom_site_type_symbol
_atom_site_fract_x
_atom_site_fract_y
_atom_site_fract_z
K1 K 0.000 0.248 0.250
Sn1 Sn 0.000 0.373 0.750
Bi1 Bi 0.000 0.102 0.750
Bi2 Bi 0.229 0.500 0.000
```

[12]
VASP calculation (PBE-GGA) on K2SnBi after structural relaxation.

Values from the calculation:
ΔE_f: -0.20 eV per formula unit
Polymorph energy (0 for the lowest one): 309.0 meV/atom

Cell and atoms, written as CIF:
```
data_K2SnBi
_space_group_name_H-M_alt 'F m -3 m'
_space_group_IT_number 225
_space_group_name_Hall '-F 4 2 3'
_cell_length_a 8.343
_cell_length_b 8.343
_cell_length_c 8.343
_cell_angle_alpha 90.00
_cell_angle_beta 90.00
_cell_angle_gamma 90.00
loop_
_atom_site_label
_atom_site_type_symbol
_atom_site_fract_x
_atom_site_fract_y
_atom_site_fract_z
K1 K 0.250 0.250 0.250
Sn1 Sn 0.000 0.000 0.000
Bi1 Bi 0.000 0.000 0.500
```

[13]
VASP calculation (PBE-GGA) on K2SnBi3 after structural relaxation.

Values from the calculation:
ΔE_f: -1.29 eV per formula unit

Cell and atoms, written as CIF:
```
data_K2SnBi3
_space_group_name_H-M_alt 'F m m m'
_space_group_IT_number 69
_space_group_name_Hall '-F 2 2'
_cell_length_a 10.135
_cell_length_b 10.839
_cell_length_c 18.114
_cell_angle_alpha 90.00
_cell_angle_beta 90.00
_cell_angle_gamma 90.00
loop_
_atom_site_label
_atom_site_type_symbol
_atom_site_fract_x
_atom_site_fract_y
_atom_site_fract_z
K1 K 0.243 0.000 0.000
K2 K 0.250 0.250 0.250
Sn1 Sn 0.000 0.000 0.334
Bi1 Bi 0.000 0.000 0.168
Bi2 Bi 0.000 0.243 0.414
```

[14]
VASP calculation (PBE-GGA) on K2Sn2Bi after structural relaxation.

Values from the calculation:
ΔE_f: -0.05 eV per formula unit
Polymorph energy (0 for the lowest one): 164.7 meV/atom

Cell and atoms, written as CIF:
```
data_K2Sn2Bi
_space_group_name_H-M_alt 'P 4/m b m'
_space_group_IT_number 127
_space_group_name_Hall '-P 4 2ab'
_cell_length_a 10.308
_cell_length_b 10.308
_cell_length_c 3.343
_cell_angle_alpha 90.00
_cell_angle_beta 90.00
_cell_angle_gamma 90.00
loop_
_atom_site_label
_atom_site_type_symbol
_atom_site_fract_x
_atom_site_fract_y
_atom_site_fract_z
K1 K 0.200 0.300 0.000
Sn1 Sn 0.097 0.597 0.500
Bi1 Bi 0.000 0.000 0.500
```

[15]
VASP calculation (PBE-GGA) on KSn2Bi after structural relaxation.

Values from the calculation:
ΔE_f: -0.22 eV per formula unit

Cell and atoms, written as CIF:
```
data_KSn2Bi
_space_group_name_H-M_alt 'P 4/m m m'
_space_group_IT_number 123
_space_group_name_Hall '-P 4 2'
_cell_length_a 4.924
_cell_length_b 4.924
_cell_length_c 5.053
_cell_angle_alpha 90.00
_cell_angle_beta 90.00
_cell_angle_gamma 90.00
loop_
_atom_site_label
_atom_site_type_symbol
_atom_site_fract_x
_atom_site_fract_y
_atom_site_fract_z
K1 K 0.000 0.000 0.000
Sn1 Sn 0.000 0.500 0.500
Bi1 Bi 0.500 0.500 0.000
```

[16]
VASP calculation (PBE-GGA) on KSn2Bi2 after structural relaxation.

Values from the calculation:
ΔE_f: -0.38 eV per formula unit
Polymorph energy (0 for the lowest one): 46.5 meV/atom

Cell and atoms, written as CIF:
```
data_KSn2Bi2
_space_group_name_H-M_alt 'P 4/m b m'
_space_group_IT_number 127
_space_group_name_Hall '-P 4 2ab'
_cell_length_a 9.166
_cell_length_b 9.166
_cell_length_c 4.036
_cell_angle_alpha 90.00
_cell_angle_beta 90.00
_cell_angle_gamma 90.00
loop_
_atom_site_label
_atom_site_type_symbol
_atom_site_fract_x
_atom_site_fract_y
_atom_site_fract_z
K1 K 0.000 0.000 0.000
Sn1 Sn 0.145 0.355 0.500
Bi1 Bi 0.135 0.635 0.000
```

[17]
VASP calculation (PBE-GGA) on K2SnBiTe4 after structural relaxation.

Values from the calculation:
Formation energy from raw total energies: -0.575 eV/atom

Cell and atoms, written as CIF:
```
data_K2SnBiTe4
_space_group_name_H-M_alt 'P 1 2/m 1'
_space_group_IT_number 10
_cell_length_a 7.864
_cell_length_b 4.495
_cell_length_c 8.783
_cell_angle_alpha 90.00
_cell_angle_beta 107.08
_cell_angle_gamma 90.00
loop_
_space_group_symop_operation_xyz
'x,y,z'
'-x,-y,-z'
'-x,y,-z'
'x,-y,z'
loop_
_atom_site_label
_atom_site_type_symbol
_atom_site_fract_x
_atom_site_fract_y
_atom_site_fract_z
K1 K 0.000 0.000 0.000
K2 K 0.500 0.500 0.000
Sn1 Sn 0.000 0.500 0.500
Bi1 Bi 0.500 0.000 0.500
Te1 Te 0.232 0.000 0.708
Te2 Te 0.260 0.500 0.289
```

[18]
VASP calculation (PBE-GGA) on K3SnBi3Te8 after structural relaxation.

Values from the calculation:
Formation energy from raw total energies: -0.508 eV/atom

Cell and atoms, written as CIF:
```
data_K3SnBi3Te8
_space_group_name_H-M_alt 'R -3 m'
_space_group_IT_number 166
_space_group_name_Hall '-R 3 2"'
_cell_length_a 8.9625
_cell_length_b 8.9625
_cell_length_c 25.6998
_cell_angle_alpha 90.00
_cell_angle_beta 90.00
_cell_angle_gamma 120.00
loop_
_atom_site_label
_atom_site_type_symbol
_atom_site_fract_x
_atom_site_fract_y
_atom_site_fract_z
K1 K 0.0000 0.5000 0.0000
Sn1 Sn 0.0000 0.0000 0.5000
Bi1 Bi 0.0000 0.5000 0.5000
Te1 Te 0.0000 0.0000 0.2373
Te2 Te 0.0174 0.5087 0.2342
```

[19]
VASP calculation (PBE-GGA) on KSnBiTe3 after structural relaxation.

Values from the calculation:
Formation energy from raw total energies: -0.487 eV/atom

Cell and atoms, written as CIF:
```
data_KSnBiTe3
_space_group_name_H-M_alt 'P 1 21/m 1'
_space_group_IT_number 11
_cell_length_a 9.259
_cell_length_b 4.471
_cell_length_c 12.038
_cell_angle_alpha 90.00
_cell_angle_beta 108.21
_cell_angle_gamma 90.00
loop_
_space_group_symop_operation_xyz
'x,y,z'
'-x,-y,-z'
'-x,y+1/2,-z'
'x,-y+1/2,z'
loop_
_atom_site_label
_atom_site_type_symbol
_atom_site_fract_x
_atom_site_fract_y
_atom_site_fract_z
K1 K 0.230 0.250 0.276
Sn1 Sn 0.129 0.250 0.554
Bi1 Bi 0.364 0.750 0.845
Te1 Te 0.105 0.250 0.787
Te2 Te 0.355 0.750 0.574
Te3 Te 0.386 0.750 0.106
```

[20]
VASP calculation (PBE-GGA) on K2Tl6SnBi after structural relaxation.

Values from the calculation:
ΔE_f: 0.09 eV per formula unit

Cell and atoms, written as CIF:
```
data_K2Tl6SnBi
_space_group_name_H-M_alt 'R -3 m'
_space_group_IT_number 166
_space_group_name_Hall '-R 3 2"'
_cell_length_a 8.1464
_cell_length_b 8.1464
_cell_length_c 41.9093
_cell_angle_alpha 90.00
_cell_angle_beta 90.00
_cell_angle_gamma 120.00
loop_
_atom_site_label
_atom_site_type_symbol
_atom_site_fract_x
_atom_site_fract_y
_atom_site_fract_z
K1 K 0.0000 0.0000 0.0974
K2 K 0.0000 0.0000 0.2784
Tl1 Tl 0.0608 0.5304 0.8653
Tl2 Tl 0.0694 0.5347 0.3085
Sn1 Sn 0.0000 0.0000 0.0000
Sn2 Sn 0.0000 0.0000 0.5000
Bi1 Bi 0.0000 0.0000 0.4238
```

| no. | VASP energy (eV per atom) | M_tot (μB/f.u.) |
| --- | --- | --- |
| 1 | -3.28 | 0.0 |
| 2 | -3.02 | 0.0 |
| 3 | -2.88 | 0.0 |
| 4 | -3.05 | 0.0 |
| 5 | -2.73 | 0.0 |
| 6 | -2.38 | 0.0 |
| 7 | -3.07 | 0.0 |
| 8 | -3.37 | 0.0 |
| 9 | -2.71 | 4.0 |
| 10 | -3.49 | 0.0 |
| 11 | -3.48 | 0.0 |
| 12 | -2.57 | 0.0 |
| 13 | -3.19 | 0.0 |
| 14 | -2.83 | 0.0 |
| 15 | -3.30 | 0.0 |
| 16 | -3.45 | 0.0 |
| 17 | -3.41 | 0.0 |
| 18 | -3.45 | 0.0 |
| 19 | -3.55 | 0.0 |
| 20 | -2.42 | 0.0 |